A relaxed PmErNi4 crystal, computed with PBE.

CIF file:
```
data_PmErNi4
_space_group_name_H-M_alt 'F -4 3 m'
_space_group_IT_number 216
_space_group_name_Hall 'F -4 2 3'
_cell_length_a 7.2035
_cell_length_b 7.2035
_cell_length_c 7.2035
_cell_angle_alpha 90.00
_cell_angle_beta 90.00
_cell_angle_gamma 90.00
loop_
_atom_site_label
_atom_site_type_symbol
_atom_site_fract_x
_atom_site_fract_y
_atom_site_fract_z
Pm1 Pm 0.0000 0.0000 0.0000
Er1 Er 0.2500 0.2500 0.2500
Ni1 Ni 0.1243 0.1243 0.6243
```

Properties
E: -5.817 eV per atom
density of states at the Fermi level: 14.3 states/eV per cell
energy of formation from the pure elements: -0.41 eV/atom
magnetization: 0.00 μB per cell